*one*
DFT (PBE) results for a relaxed structure of Tl2TeCl6.

```
Tl2TeCl6
1.0
7.2068 0.0000 -0.3823
0.0000 8.0517 0.0000
0.8333 0.0000 10.2443
Tl Te Cl
4 2 12
direct
0.0266 0.5831 0.7465
0.4734 0.0831 0.7535
0.5266 0.9169 0.2465
0.9734 0.4169 0.2535
0.5000 0.5000 0.0000
0.0000 0.0000 0.5000
0.0802 0.0218 0.2554
0.1787 0.2711 0.5402
0.2055 0.3272 0.9640
0.2945 0.8272 0.5360
0.3213 0.7711 0.9598
0.4198 0.5218 0.2446
0.9198 0.9782 0.7446
0.8213 0.7289 0.4598
0.7945 0.6728 0.0360
0.7055 0.1728 0.4640
0.6787 0.2289 0.0402
0.5802 0.4782 0.7554
```

## Properties
Size of the total moment   0.00 μB per atom
Mass density   4.2 g/cm3
Space-group type   P2_1/c, No. 14

***

*two*
DFT (PBE) results for a relaxed structure of Tl2TeCl6.

```
Tl2TeCl6
1.0
-5.0646 2.4083 4.6982
1.0012 -0.8278 7.1997
1.3812 5.8321 4.1955
Cl Te Tl
6 1 2
direct
0.2475 0.7525 0.2475
0.7525 0.2475 0.7525
0.2475 0.7525 0.7525
0.7525 0.2475 0.2475
0.2475 0.2475 0.7525
0.7525 0.7525 0.2475
0.0000 0.0000 0.0000
0.7500 0.7500 0.7500
0.2500 0.2500 0.2500
```

## Properties
Size of the total moment   0.00 μB per atom
Mass density   4.5 g/cm3
Space-group type   Fm-3m, No. 225

***

*three*
DFT (PBE) results for a relaxed structure of Tl2TeCl6.

```
Tl2TeCl6
1.0
6.2962 0.0181 0.0105
0.0932 7.3118 -0.0021
0.0932 3.6410 6.3408
Tl Te Cl
2 1 6
direct
0.8260 0.6694 0.6694
0.1740 0.3306 0.3306
0.0000 0.0000 0.0000
0.2259 0.3349 0.8320
0.2310 0.8307 0.8307
0.2259 0.8320 0.3349
0.7741 0.6651 0.1680
0.7690 0.1693 0.1693
0.7741 0.1680 0.6651
```

## Properties
Size of the total moment   0.00 μB per atom
Mass density   4.3 g/cm3
Space-group type   C2/m, No. 12

***

According to the calculations, the structures order from most to least stable as *one*, *two*, *three*.

***

*one*
DFT (PBE) results for a relaxed structure of ZrTlTe2Cl.

```
ZrTlTe2Cl
1.0
-5.1278 -1.7447 1.8117
1.9686 -0.2234 5.3568
-1.3858 4.8100 0.7099
Tl Te Zr Cl
1 2 1 1
direct
0.5000 0.5000 0.5000
0.0000 0.5000 0.0000
0.5000 0.0000 0.0000
0.0000 0.0000 0.0000
0.0000 0.0000 0.5000
```

## Properties
Size of the total moment   0.00 μB per atom
Mass density   5.9 g/cm3
Space-group type   P4/mmm, No. 123

***

*two*
DFT (PBE) results for a relaxed structure of ZrTlTe2Cl.

```
ZrTlTe2Cl
1.0
4.1129 0.0000 0.0000
0.0000 9.2364 0.6359
0.0000 -3.2065 8.8388
Zr Tl Te Cl
2 2 4 2
direct
0.2500 0.8355 0.8232
0.7500 0.1645 0.1768
0.2500 0.7383 0.3161
0.7500 0.2617 0.6839
0.7500 0.8767 0.6211
0.7500 0.8303 0.0481
0.2500 0.1233 0.3789
0.2500 0.1697 0.9519
0.2500 0.5603 0.7397
0.7500 0.4397 0.2603
```

## Properties
Size of the total moment   0.00 μB per atom
Mass density   5.7 g/cm3
Space-group type   P2_1/m, No. 11

***

According to the calculations, the structures order from most to least stable as *two*, *one*.

***

*one*
DFT (PBE) results for a relaxed structure of TeWCl3.

```
TeWCl3
1.0
-0.2042 5.2797 -1.2377
-3.8517 0.7307 3.7523
3.8173 1.0196 3.7199
Te W Cl
1 1 3
direct
0.0000 0.0000 0.0000
0.5000 0.5000 0.5000
0.0000 0.5000 0.0000
0.0000 0.0000 0.5000
0.5000 0.0000 0.0000
```

## Properties
Size of the total moment   1.08 μB per atom
Mass density   4.3 g/cm3
Space-group type   Pm-3m, No. 221

***

*two*
DFT (PBE) results for a relaxed structure of TeWCl3.

```
TeWCl3
1.0
-3.8766 -2.5280 -1.3973
2.8879 -3.4375 -1.7930
-0.0560 -2.2725 4.2666
Te W Cl
1 1 3
direct
0.5000 0.5000 0.5000
0.0000 0.0000 0.0000
0.0000 0.5000 0.0000
0.0000 0.0000 0.5000
0.5000 0.0000 0.0000
```

## Properties
Size of the total moment   0.00 μB per atom
Mass density   6.1 g/cm3
Space-group type   Pm-3m, No. 221

***

According to the calculations, the structures order from most to least stable as *two*, *one*.

***

*one*
DFT (PBE) results for a relaxed structure of Te2WCl.

```
Te2WCl
1.0
7.1132 0.0000 0.0000
0.0000 7.1132 0.0000
3.5566 3.5566 5.4688
Te W Cl
4 2 2
direct
0.6934 0.1250 0.2500
0.0566 0.6250 0.2500
0.3750 0.3066 0.7500
0.8750 0.9434 0.7500
0.0000 0.0000 0.0000
0.7500 0.2500 0.5000
0.5000 0.5000 0.0000
0.2500 0.7500 0.5000
```

## Properties
Size of the total moment   0.25 μB per atom
Mass density   5.7 g/cm3
Space-group type   I-42d, No. 122

***

*two*
DFT (PBE) results for a relaxed structure of Te2WCl.

```
Te2WCl
1.0
-0.9279 -0.2156 -3.1748
-2.4045 -2.1186 0.8467
-5.1392 6.2629 1.0767
Cl Te W
1 2 1
direct
0.5000 0.5000 0.7500
0.0000 0.0000 0.0432
0.0000 0.0000 0.4568
0.5000 0.5000 0.2500
```

## Properties
Size of the total moment   0.00 μB per atom
Mass density   8.8 g/cm3
Space-group type   P4/mmm, No. 123

***

According to the calculations, the structures order from most to least stable as *two*, *one*.

***

*one*
DFT (PBE) results for a relaxed structure of Te2WCl.

```
Te2WCl
1.0
5.3269 0.0014 0.0000
-2.2286 4.8383 0.0000
0.0000 0.0000 3.4749
Cl Te W
1 2 1
direct
0.0000 0.5000 0.5000
0.0000 0.0000 0.0000
0.5000 0.5000 0.0000
0.5000 0.0000 0.5000
```

## Properties
Size of the total moment   0.45 μB per atom
Mass density   8.8 g/cm3
Space-group type   Cmmm, No. 65

***

*two*
DFT (PBE) results for a relaxed structure of Te2WCl.

```
Te2WCl
1.0
11.1851 0.0409 0.0240
10.6934 3.2802 0.0240
10.6934 1.6233 2.8505
Cl Te W
1 2 1
direct
0.7795 0.7795 0.7795
0.9966 0.9966 0.9966
0.2250 0.2250 0.2250
0.4989 0.4989 0.4989
```

## Properties
Size of the total moment   0.00 μB per atom
Mass density   7.7 g/cm3
Space-group type   R3m, No. 160

***

According to the calculations, the structures order from most to least stable as *two*, *one*.

***

*one*
DFT (PBE) results for a relaxed structure of TeWCl.

```
TeWCl
1.0
4.8235 0.0000 0.0000
2.4117 4.1772 0.0000
2.4117 1.3924 3.9383
Cl Te W
1 1 1
direct
0.5000 0.5000 0.5000
0.2500 0.2500 0.2500
0.0000 0.0000 0.0000
```

## Properties
Size of the total moment   1.00 μB per atom
Mass density   7.3 g/cm3
Space-group type   F-43m, No. 216

***

*two*
DFT (PBE) results for a relaxed structure of TeWCl.

```
TeWCl
1.0
-0.1369 2.1031 -4.2318
-3.2003 -3.2997 1.1043
-1.8579 2.1856 1.1463
Cl Te W
1 1 1
direct
0.0000 0.0000 0.8465
0.6667 0.3333 0.4679
0.3333 0.6667 0.6856
```

## Properties
Size of the total moment   0.00 μB per atom
Mass density   9.6 g/cm3
Space-group type   P3m1, No. 156

***

According to the calculations, the structures order from most to least stable as *two*, *one*.

***

*one*
DFT (PBE) results for a relaxed structure of TeW3Cl.

```
TeW3Cl
1.0
-0.9900 -3.6897 2.4110
4.3777 -0.5355 0.9779
-0.5129 2.5508 3.6929
Te W Cl
1 3 1
direct
0.5000 0.5000 0.5000
0.0000 0.5000 0.0000
0.0000 0.0000 0.5000
0.5000 0.0000 0.0000
0.0000 0.0000 0.0000
```

## Properties
Size of the total moment   0.00 μB per atom
Mass density   12.9 g/cm3
Space-group type   Pm-3m, No. 221

***

*two*
DFT (PBE) results for a relaxed structure of TeW3Cl.

```
TeW3Cl
1.0
-3.7514 -1.6617 2.8104
3.1790 -2.8350 2.5671
0.7444 3.7329 3.2007
Te W Cl
1 3 1
direct
0.0000 0.0000 0.0000
0.0000 0.5000 0.0000
0.0000 0.0000 0.5000
0.5000 0.0000 0.0000
0.5000 0.5000 0.5000
```

## Properties
Size of the total moment   0.00 μB per atom
Mass density   9.6 g/cm3
Space-group type   Pm-3m, No. 221

***

According to the calculations, the structures order from most to least stable as *one*, *two*.

***

*one*
DFT (PBE) results for a relaxed structure of YTe2Cl.

```
YTe2Cl
1.0
-1.8126 3.6816 -3.2578
-2.4804 -0.1080 4.6140
2.9983 2.9639 1.6812
Cl Te Y
1 2 1
direct
0.0000 0.5000 0.5000
0.0000 0.0000 0.0000
0.5000 0.5000 0.0000
0.5000 0.0000 0.5000
```

## Properties
Size of the total moment   0.00 μB per atom
Mass density   5.5 g/cm3
Space-group type   Cmmm, No. 65

***

*two*
DFT (PBE) results for a relaxed structure of YTe2Cl.

```
YTe2Cl
1.0
3.7538 0.0000 0.0000
0.0000 4.6045 -0.0094
0.0000 1.3415 8.4614
Cl Te Y
1 2 1
direct
0.5000 0.6079 0.6643
0.0000 0.9550 0.0812
0.5000 0.2308 0.3132
0.0000 0.7063 0.4412
```

## Properties
Size of the total moment   0.00 μB per atom
Mass density   4.3 g/cm3
Space-group type   Pm, No. 6

***

According to the calculations, the structures order from most to least stable as *two*, *one*.

***

*one*
DFT (PBE) results for a relaxed structure of Y2Te2Cl.

```
Y2Te2Cl
1.0
-1.9988 -6.8460 -4.0391
4.5299 -4.4034 5.2218
-3.2570 -0.4782 2.4222
Y Te Cl
4 4 2
direct
0.3475 0.8475 0.0000
0.8475 0.6525 0.0000
0.6525 0.1525 0.0000
0.1525 0.3475 0.0000
0.1463 0.6463 0.5000
0.6463 0.8537 0.5000
0.8537 0.3537 0.5000
0.3537 0.1463 0.5000
0.0000 0.0000 0.0000
0.5000 0.5000 0.0000
```

## Properties
Size of the total moment   0.00 μB per atom
Mass density   5.7 g/cm3
Space-group type   P4/mbm, No. 127

***

*two*
DFT (PBE) results for a relaxed structure of Y2Te2Cl.

```
Y2Te2Cl
1.0
6.0963 0.0000 0.0000
-3.0481 6.1016 -2.9177
0.0000 0.1675 8.4118
Y Te Cl
4 4 2
direct
0.1646 0.3293 0.5825
0.8354 0.6707 0.4175
0.4934 0.9869 0.2527
0.5066 0.0131 0.7473
0.6860 0.3719 0.6175
0.3140 0.6281 0.3825
0.0201 0.0403 0.7821
0.9799 0.9597 0.2179
0.3561 0.7122 0.8935
0.6439 0.2878 0.1065
```

## Properties
Size of the total moment   0.00 μB per atom
Mass density   4.9 g/cm3
Space-group type   C2/m, No. 12

***

According to the calculations, the structures order from most to least stable as *two*, *one*.

***

*one*
DFT (PBE) results for a relaxed structure of Zn2TeCl.

```
Zn2TeCl
1.0
4.8226 -0.2022 0.0000
-3.0839 3.7132 0.0000
0.0000 0.0000 7.4727
Cl Te Zn
1 1 2
direct
0.5000 0.5000 0.2500
0.5000 0.5000 0.7500
0.0000 0.0000 0.9952
0.0000 0.0000 0.5048
```

## Properties
Size of the total moment   0.00 μB per atom
Mass density   3.8 g/cm3
Space-group type   Cmmm, No. 65

***

*two*
DFT (PBE) results for a relaxed structure of Zn2TeCl.

```
Zn2TeCl
1.0
-0.3910 -0.6577 4.9022
-4.2856 -1.5511 1.9609
-0.3591 -4.5827 1.8673
Cl Te Zn
1 1 2
direct
0.5000 0.5000 0.5000
0.7500 0.7500 0.7500
0.0000 0.0000 0.0000
0.2500 0.2500 0.2500
```

## Properties
Size of the total moment   0.00 μB per atom
Mass density   5.7 g/cm3
Space-group type   F-43m, No. 216

***

According to the calculations, the structures order from most to least stable as *one*, *two*.

***

*one*
DFT (PBE) results for a relaxed structure of Zn2TeCl.

```
Zn2TeCl
1.0
0.0000 3.4854 3.4854
3.4854 0.0000 3.4854
3.4854 3.4854 0.0000
Zn Te Cl
2 1 1
direct
0.2500 0.2500 0.2500
0.7500 0.7500 0.7500
0.5000 0.5000 0.5000
0.0000 0.0000 0.0000
```

## Properties
Size of the total moment   0.00 μB per atom
Mass density   5.8 g/cm3
Space-group type   Fm-3m, No. 225

***

*two*
DFT (PBE) results for a relaxed structure of Zn2TeCl.

```
Zn2TeCl
1.0
-2.1010 2.3493 -1.6267
1.4606 -0.8525 -3.1176
-4.8839 -5.0044 -0.9196
Cl Te Zn
1 1 2
direct
0.5000 0.5000 0.2500
0.5000 0.5000 0.7500
0.0000 0.0000 0.9810
0.0000 0.0000 0.5190
```

## Properties
Size of the total moment   0.00 μB per atom
Mass density   5.5 g/cm3
Space-group type   P4/mmm, No. 123

***

According to the calculations, the structures order from most to least stable as *one*, *two*.

***

*one*
DFT (PBE) results for a relaxed structure of Zn2TeCl.

```
Zn2TeCl
1.0
6.1160 -0.0112 0.0315
1.3348 5.9686 -0.0315
-2.1498 -4.9493 2.8793
Cl Te Zn
1 1 2
direct
0.5646 0.5646 0.0000
0.2145 0.7145 0.5000
0.9701 0.9701 0.0000
0.7508 0.2508 0.5000
```

## Properties
Size of the total moment   0.00 μB per atom
Mass density   4.7 g/cm3
Space-group type   Imm2, No. 44

***

*two*
DFT (PBE) results for a relaxed structure of Zn2TeCl.

```
Zn2TeCl
1.0
-2.3255 2.0833 -0.2491
-0.3316 0.0023 3.1145
6.2887 7.0990 0.6641
Cl Te Zn
1 1 2
direct
0.0000 0.0000 0.4005
0.5000 0.5000 0.7971
0.0000 0.0000 0.0572
0.5000 0.5000 0.2451
```

## Properties
Size of the total moment   0.00 μB per atom
Mass density   5.2 g/cm3
Space-group type   P4mm, No. 99

***

According to the calculations, the structures order from most to least stable as *one*, *two*.

***

*one*
DFT (PBE) results for a relaxed structure of Zn2TeCl.

```
Zn2TeCl
1.0
-0.8836 -6.5152 1.5153
0.5970 -6.2987 -2.3440
3.1597 -5.8961 0.8815
Cl Te Zn
1 1 2
direct
0.2500 0.2500 0.2500
0.7500 0.7500 0.7500
0.0072 0.0072 0.0072
0.4928 0.4928 0.4928
```

## Properties
Size of the total moment   0.00 μB per atom
Mass density   5.2 g/cm3
Space-group type   R-3m, No. 166

***

*two*
DFT (PBE) results for a relaxed structure of Zn2TeCl.

```
Zn2TeCl
1.0
-1.5930 3.1618 4.0896
-0.2336 -4.5446 2.9243
3.8410 3.0515 -2.2792
Cl Te Zn
1 1 2
direct
0.7500 0.2500 0.5000
0.2500 0.7500 0.5000
0.9955 0.9955 0.0000
0.5045 0.5045 0.0000
```

## Properties
Size of the total moment   0.00 μB per atom
Mass density   4.9 g/cm3
Space-group type   Immm, No. 71

***

According to the calculations, the structures order from most to least stable as *one*, *two*.